[1]
DFT (GGA-PBE) results for BaLiLa2Pt after structural relaxation.

Calculated values
The formation energy is -290.5 meV/atom. The density comes out at 4897 kg/m3. For the total energy, the calculation gives -4.2370 eV per atom.

Lattice parameters (Å, degrees): 5.686 5.686 6.472 90.00 90.00 90.00
Element x y z (fractional)
Li (0.500, 0.500, 0.500)
Ba (0.000, 0.000, 0.500)
Pt (0.000, 0.000, 0.000)
La (0.000, 0.500, 0.000)
La (0.500, 0.000, 0.000)

[2]
DFT (GGA-PBE) results for BaLi2LaPt after structural relaxation.

Calculated values
The formation energy is -285.8 meV/atom. The density comes out at 5302 kg/m3. For the total energy, the calculation gives -3.6295 eV per atom.

Lattice parameters (Å, degrees): 5.313 5.313 5.383 90.00 90.00 90.00
Element x y z (fractional)
Li (0.000, 0.500, 0.000)
Li (0.500, 0.000, 0.000)
Ba (0.500, 0.500, 0.500)
Pt (0.000, 0.000, 0.000)
La (0.000, 0.000, 0.500)